[1]
# AlTlGaSn (PBE-GGA, optimized geometry)
data_AlTlGaSn
_cell_length_a 7.2485
_cell_length_b 7.2485
_cell_length_c 7.2485
_cell_angle_alpha 90.00
_cell_angle_beta 90.00
_cell_angle_gamma 90.00
_space_group_name_H-M_alt 'F -4 3 m'
_space_group_IT_number 216
_space_group_name_Hall 'F -4 2 3'
loop_
_atom_site_label
_atom_site_type_symbol
_atom_site_fract_x
_atom_site_fract_y
_atom_site_fract_z
Al1 Al 0.0000 0.0000 0.0000
Tl1 Tl 0.2500 0.2500 0.2500
Ga1 Ga 0.0000 0.0000 0.5000
Sn1 Sn 0.2500 0.2500 0.7500
# **E_tot**: -3.119 eV per atom


[2]
# YAlGa2Sn (PBE-GGA, optimized geometry)
data_YAlGa2Sn
_cell_length_a 5.5384
_cell_length_b 5.5384
_cell_length_c 5.7722
_cell_angle_alpha 90.00
_cell_angle_beta 90.00
_cell_angle_gamma 90.00
_space_group_name_H-M_alt 'P 4/m m m'
_space_group_IT_number 123
_space_group_name_Hall '-P 4 2'
loop_
_atom_site_label
_atom_site_type_symbol
_atom_site_fract_x
_atom_site_fract_y
_atom_site_fract_z
Y1 Y 0.0000 0.0000 0.0000
Al1 Al 0.5000 0.5000 0.5000
Ga1 Ga 0.0000 0.5000 0.0000
Sn1 Sn 0.0000 0.0000 0.5000
# **E_tot**: -3.324 eV per atom


[3]
# SrAlGa2 (PBE-GGA, optimized geometry)
data_SrAlGa2
_cell_length_a 7.6415
_cell_length_b 4.2166
_cell_length_c 11.5772
_cell_angle_alpha 90.00
_cell_angle_beta 90.00
_cell_angle_gamma 90.00
_space_group_name_H-M_alt 'P n m a'
_space_group_IT_number 62
loop_
_space_group_symop_operation_xyz
'x,y,z'
'-x,-y,-z'
'-x+1/2,-y,z+1/2'
'x+1/2,y,-z+1/2'
'x+1/2,-y+1/2,-z+1/2'
'-x+1/2,y+1/2,z+1/2'
'-x,y+1/2,-z'
'x,-y+1/2,z'
loop_
_atom_site_label
_atom_site_type_symbol
_atom_site_fract_x
_atom_site_fract_y
_atom_site_fract_z
Sr1 Sr 0.1295 0.2500 0.1371
Al1 Al 0.1359 0.2500 0.4396
Ga1 Ga 0.0399 0.2500 0.6574
Ga2 Ga 0.1979 0.2500 0.8541
# **E_tot**: -3.278 eV per atom


[4]
# SrAl4Ga12 (PBE-GGA, optimized geometry)
data_SrAl4Ga12
_cell_length_a 9.0251
_cell_length_b 9.0251
_cell_length_c 9.0251
_cell_angle_alpha 90.00
_cell_angle_beta 90.00
_cell_angle_gamma 90.00
_space_group_name_H-M_alt 'I m -3'
_space_group_IT_number 204
_space_group_name_Hall '-I 2 2 3'
loop_
_atom_site_label
_atom_site_type_symbol
_atom_site_fract_x
_atom_site_fract_y
_atom_site_fract_z
Sr1 Sr 0.0000 0.0000 0.0000
Al1 Al 0.2500 0.2500 0.2500
Ga1 Ga 0.0000 0.1507 0.3574
# **E_tot**: -3.080 eV per atom


[5]
# SrAlGa2 (PBE-GGA, optimized geometry)
data_SrAlGa2
_cell_length_a 4.4047
_cell_length_b 4.4047
_cell_length_c 17.2818
_cell_angle_alpha 90.00
_cell_angle_beta 90.00
_cell_angle_gamma 120.00
_space_group_name_H-M_alt 'R -3 m'
_space_group_IT_number 166
_space_group_name_Hall '-R 3 2"'
loop_
_atom_site_label
_atom_site_type_symbol
_atom_site_fract_x
_atom_site_fract_y
_atom_site_fract_z
Sr1 Sr 0.0000 0.0000 0.0000
Al1 Al 0.0000 0.0000 0.5000
Ga1 Ga 0.0000 0.0000 0.2164
# **E_tot**: -3.191 eV per atom


[6]
# Sr4Al5Ga2 (PBE-GGA, optimized geometry)
data_Sr4Al5Ga2
_cell_length_a 8.4033
_cell_length_b 3.6029
_cell_length_c 9.8190
_cell_angle_alpha 90.00
_cell_angle_beta 90.53
_cell_angle_gamma 90.00
_space_group_name_H-M_alt 'P 1 2/m 1'
_space_group_IT_number 10
loop_
_space_group_symop_operation_xyz
'x,y,z'
'-x,-y,-z'
'-x,y,-z'
'x,-y,z'
loop_
_atom_site_label
_atom_site_type_symbol
_atom_site_fract_x
_atom_site_fract_y
_atom_site_fract_z
Sr1 Sr 0.1712 0.0000 0.1250
Sr2 Sr 0.2856 0.0000 0.5225
Al1 Al 0.2078 0.5000 0.8243
Al2 Al 0.4841 0.5000 0.2642
Al3 Al 0.5000 0.5000 0.0000
Ga1 Ga 0.0143 0.5000 0.3675
# **E_tot**: -3.002 eV per atom


[7]
# Sr2Al3Ga (PBE-GGA, optimized geometry)
data_Sr2Al3Ga
_cell_length_a 4.4433
_cell_length_b 4.8291
_cell_length_c 7.7413
_cell_angle_alpha 90.00
_cell_angle_beta 90.00
_cell_angle_gamma 90.00
_space_group_name_H-M_alt 'P m m 2'
_space_group_IT_number 25
loop_
_space_group_symop_operation_xyz
'x,y,z'
'-x,-y,z'
'-x,y,z'
'x,-y,z'
loop_
_atom_site_label
_atom_site_type_symbol
_atom_site_fract_x
_atom_site_fract_y
_atom_site_fract_z
Sr1 Sr 0.0000 0.0000 0.0000
Sr2 Sr 0.5000 0.0000 0.4963
Al1 Al 0.0000 0.5000 0.3279
Al2 Al 0.0000 0.5000 0.6642
Al3 Al 0.5000 0.5000 0.8357
Ga1 Ga 0.5000 0.5000 0.1649
# **E_tot**: -3.233 eV per atom


[8]
# SrAl3Ga (PBE-GGA, optimized geometry)
data_SrAl3Ga
_cell_length_a 5.0584
_cell_length_b 5.0584
_cell_length_c 5.0584
_cell_angle_alpha 90.00
_cell_angle_beta 90.00
_cell_angle_gamma 90.00
_space_group_name_H-M_alt 'P m -3 m'
_space_group_IT_number 221
_space_group_name_Hall '-P 4 2 3'
loop_
_atom_site_label
_atom_site_type_symbol
_atom_site_fract_x
_atom_site_fract_y
_atom_site_fract_z
Sr1 Sr 0.0000 0.0000 0.0000
Al1 Al 0.0000 0.5000 0.5000
Ga1 Ga 0.5000 0.5000 0.5000
# **Distance to the lowest polymorph of the same formula**: 0.536 eV/atom


| no. | calculated volume (Å³ per cell) |
| --- | --- |
| 1 | 381 |
| 2 | 177 |
| 3 | 373 |
| 4 | 735 |
| 5 | 290 |
| 6 | 297 |
| 7 | 166 |
| 8 | 129 |